[1]
Here is a relaxed structure of LiPmNiIr from Alexandria. Energies are from PBE.

a = 6.3890 Å, b = 6.3890 Å, c = 6.3890 Å
α = 90.00°, β = 90.00°, γ = 90.00°
Space group F-43m (No. 216)
Unique sites:
Li (0.0000, 0.0000, 0.0000) (multiplicity 4)
Pm (0.2500, 0.2500, 0.2500) (multiplicity 4)
Ni (0.0000, 0.0000, 0.5000) (multiplicity 4)
Ir (0.2500, 0.2500, 0.7500) (multiplicity 4)

Values from the calculation:
spin magnetization = 0.000 μB/f.u.
Fermi-level density of states = 1.16 states/eV/atom
DFT formation energy = -0.19 eV per atom

=====

[2]
Here is a relaxed structure of YGa4CoPt2 from Alexandria. Energies are from PBE.

a = 4.2411 Å, b = 4.2411 Å, c = 25.6485 Å
α = 90.00°, β = 90.00°, γ = 120.00°
Space group R-3m (No. 166, hexagonal axes)
Unique sites:
Y (0.0000, 0.0000, 0.0000) (multiplicity 3)
Ga (0.0000, 0.0000, 0.1349) (multiplicity 6)
Ga (0.0000, 0.0000, 0.3995) (multiplicity 6)
Co (0.0000, 0.0000, 0.5000) (multiplicity 3)
Pt (0.0000, 0.0000, 0.2380) (multiplicity 6)

Values from the calculation:
spin magnetization = 0.486 μB/f.u.
Fermi-level density of states = 0.55 states/eV/atom
DFT formation energy = -0.61 eV per atom

=====

[3]
Here is a relaxed structure of Zr3ScZn7 from Alexandria. Energies are from PBE.

a = 3.1123 Å, b = 19.2991 Å, c = 13.4365 Å
α = 90.00°, β = 90.00°, γ = 90.00°
Space group Cmcm (No. 63)
Unique sites:
Zr (0.0000, 0.1153, 0.0413) (multiplicity 8)
Zr (0.0000, 0.2485, 0.7500) (multiplicity 4)
Sc (0.0000, 0.0233, 0.7500) (multiplicity 4)
Zn (0.0000, 0.2625, 0.0700) (multiplicity 8)
Zn (0.0000, 0.3709, 0.1564) (multiplicity 8)
Zn (0.0000, 0.3959, 0.7500) (multiplicity 4)
Zn (0.0000, 0.4909, 0.0865) (multiplicity 8)

Values from the calculation:
spin magnetization = 0.000 μB/f.u.
Fermi-level density of states = 0.77 states/eV/atom
DFT formation energy = -0.12 eV per atom

=====

[4]
Here is a relaxed structure of Pa2TcB from Alexandria. Energies are from PBE.

a = 3.3834 Å, b = 3.3834 Å, c = 24.3519 Å
α = 90.00°, β = 90.00°, γ = 120.00°
Space group R-3m (No. 166, hexagonal axes)
Unique sites:
Pa (0.0000, 0.0000, 0.1022) (multiplicity 6)
Tc (0.0000, 0.0000, 0.0000) (multiplicity 3)
B (0.0000, 0.0000, 0.5000) (multiplicity 3)

Values from the calculation:
spin magnetization = 0.000 μB/f.u.
Fermi-level density of states = 1.22 states/eV/atom
polymorph energy (0 for the lowest one) = 474 meV per atom
DFT formation energy = 0.32 eV per atom

=====

[5]
Here is a relaxed structure of ReIrBr2 from Alexandria. Energies are from PBE.

a = 3.0536 Å, b = 3.0536 Å, c = 7.3248 Å
α = 90.00°, β = 90.00°, γ = 90.00°
Space group P4/mmm (No. 123)
Unique sites:
Re (0.0000, 0.0000, 0.0000) (multiplicity 1)
Ir (0.0000, 0.0000, 0.5000) (multiplicity 1)
Br (0.5000, 0.5000, 0.2352) (multiplicity 2)

Values from the calculation:
spin magnetization = 0.000 μB/f.u.
Fermi-level density of states = 0.87 states/eV/atom
raw formation energy = 1.539 eV/atom
polymorph energy (0 for the lowest one) = 1289 meV per atom

=====

[6]
Here is a relaxed structure of CaMg2As2Pd2 from Alexandria. Energies are from PBE.

a = 4.4093 Å, b = 4.4093 Å, c = 23.8467 Å
α = 90.00°, β = 90.00°, γ = 120.00°
Space group R-3m (No. 166, hexagonal axes)
Unique sites:
Ca (0.0000, 0.0000, 0.0000) (multiplicity 3)
Mg (0.0000, 0.0000, 0.1377) (multiplicity 6)
As (0.0000, 0.0000, 0.2562) (multiplicity 6)
Pd (0.0000, 0.0000, 0.4332) (multiplicity 6)

Values from the calculation:
spin magnetization = 0.000 μB/f.u.
Fermi-level density of states = 0.24 states/eV/atom
DFT formation energy = -0.75 eV per atom

=====

[7]
Here is a relaxed structure of Fe2SbPt from Alexandria. Energies are from PBE.

a = 3.0503 Å, b = 3.0503 Å, c = 6.6157 Å
α = 90.00°, β = 90.00°, γ = 90.00°
Space group P4/mmm (No. 123)
Unique sites:
Fe (0.0000, 0.0000, 0.2416) (multiplicity 2)
Sb (0.5000, 0.5000, 0.5000) (multiplicity 1)
Pt (0.5000, 0.5000, 0.0000) (multiplicity 1)

Values from the calculation:
spin magnetization = 5.234 μB/f.u.
Fermi-level density of states = 0.85 states/eV/atom
raw formation energy = 0.184 eV/atom

=====

[8]
Here is a relaxed structure of YZr2P from Alexandria. Energies are from PBE.

a = 5.4525 Å, b = 9.9557 Å, c = 3.5626 Å
α = 90.00°, β = 90.00°, γ = 90.00°
Space group Cmmm (No. 65)
Unique sites:
Y (0.0000, 0.0000, 0.0000) (multiplicity 2)
Zr (0.0000, 0.3161, 0.5000) (multiplicity 4)
P (0.0000, 0.5000, 0.0000) (multiplicity 2)

Values from the calculation:
spin magnetization = 0.000 μB/f.u.
Fermi-level density of states = 1.24 states/eV/atom
DFT formation energy = -0.57 eV per atom

=====

[9]
Here is a relaxed structure of Dy2ZnIr from Alexandria. Energies are from PBE.

a = 6.9666 Å, b = 6.9666 Å, c = 6.9666 Å
α = 90.00°, β = 90.00°, γ = 90.00°
Space group Fm-3m (No. 225)
Unique sites:
Dy (0.2500, 0.2500, 0.2500) (multiplicity 8)
Zn (0.0000, 0.0000, 0.0000) (multiplicity 4)
Ir (0.0000, 0.0000, 0.5000) (multiplicity 4)

Values from the calculation:
spin magnetization = 0.000 μB/f.u.
Fermi-level density of states = 0.71 states/eV/atom
polymorph energy (0 for the lowest one) = 25 meV per atom
DFT formation energy = -0.63 eV per atom

=====

[10]
Here is a relaxed structure of Hf2HgH from Alexandria. Energies are from PBE.

a = 3.2483 Å, b = 3.2483 Å, c = 22.1232 Å
α = 90.00°, β = 90.00°, γ = 120.00°
Space group R-3m (No. 166, hexagonal axes)
Unique sites:
Hf (0.0000, 0.0000, 0.2235) (multiplicity 6)
Hg (0.0000, 0.0000, 0.0000) (multiplicity 3)
H (0.0000, 0.0000, 0.5000) (multiplicity 3)

Values from the calculation:
spin magnetization = 0.000 μB/f.u.
Fermi-level density of states = 0.79 states/eV/atom
polymorph energy (0 for the lowest one) = 59 meV per atom

=====

[11]
Here is a relaxed structure of Tl6Hg3Sb2 from Alexandria. Energies are from PBE.

a = 9.3781 Å, b = 16.7361 Å, c = 5.4623 Å
α = 90.00°, β = 125.59°, γ = 90.00°
Space group C2/m (No. 12)
Unique sites:
Tl (0.2446, 0.1615, 0.2451) (multiplicity 8)
Tl (0.2493, 0.5000, 0.2436) (multiplicity 4)
Hg (0.0000, 0.1650, 0.5000) (multiplicity 4)
Hg (0.0000, 0.5000, 0.5000) (multiplicity 2)
Sb (0.0000, 0.3263, 0.0000) (multiplicity 4)

Values from the calculation:
spin magnetization = 0.000 μB/f.u.
Fermi-level density of states = 0.43 states/eV/atom
raw formation energy = 0.012 eV/atom

=====

[12]
Here is a relaxed structure of TbScHgPd from Alexandria. Energies are from PBE.

a = 7.0641 Å, b = 7.0641 Å, c = 7.0641 Å
α = 90.00°, β = 90.00°, γ = 90.00°
Space group F-43m (No. 216)
Unique sites:
Tb (0.0000, 0.0000, 0.0000) (multiplicity 4)
Sc (0.0000, 0.0000, 0.5000) (multiplicity 4)
Hg (0.2500, 0.2500, 0.7500) (multiplicity 4)
Pd (0.2500, 0.2500, 0.2500) (multiplicity 4)

Values from the calculation:
spin magnetization = 0.000 μB/f.u.
Fermi-level density of states = 0.70 states/eV/atom
polymorph energy (0 for the lowest one) = 54 meV per atom
DFT formation energy = -0.61 eV per atom